(1)
Material: KZr2Si
Method: DFT, PBE-GGA
State: optimized geometry

```
KZr2Si
1.0
3.068 0.000 0.000
0.000 5.765 0.001
0.000 3.461 5.140
Zr K Si
2 1 1
direct
0.500 0.500 0.000
0.000 0.000 0.000
0.500 0.500 0.500
0.000 0.000 0.500
```

Output
symmetry = P2/m, No. 10



(2)
Material: KZrSi2
Method: DFT, PBE-GGA
State: optimized geometry

```
KZrSi2
1.0
-0.161 4.725 -5.920
-5.256 3.384 -4.280
3.061 -1.825 6.685
K Zr Si
1 1 2
direct
0.793 0.293 0.500
0.530 0.530 0.000
0.150 0.650 0.500
0.028 0.028 0.000
```

Output
symmetry = Imm2, No. 44
E above lowest polymorph = 0.113 eV/atom



(3)
Material: KZr2Si
Method: DFT, PBE-GGA
State: optimized geometry

```
KZr2Si
1.0
-3.432 2.100 3.153
-1.704 -2.628 4.040
1.382 1.391 4.722
Si Zr K
1 2 1
direct
0.750 0.750 0.750
0.000 0.000 0.000
0.250 0.250 0.250
0.500 0.500 0.500
```

Output
symmetry = F-43m, No. 216



(4)
Material: KZrSi2
Method: DFT, PBE-GGA
State: optimized geometry

```
KZrSi2
1.0
-4.079 -1.182 3.843
0.257 -5.009 2.766
3.537 4.344 -1.195
Si Zr K
2 1 1
direct
0.000 0.000 0.000
0.250 0.750 0.500
0.500 0.500 0.000
0.750 0.250 0.500
```

Output
symmetry = I-4m2, No. 119
E above lowest polymorph = 0.726 eV/atom



(5)
Material: KZr2Si
Method: DFT, PBE-GGA
State: optimized geometry

```
KZr2Si
1.0
-0.436 -0.756 3.491
3.534 -0.610 0.309
1.263 8.315 1.959
Zr Si K
2 1 1
direct
0.500 0.500 0.156
0.000 0.000 0.954
0.500 0.500 0.839
0.000 0.000 0.550
```

Output
symmetry = P4mm, No. 99



(6)
Material: KZrSi2
Method: DFT, PBE-GGA
State: optimized geometry

```
KZrSi2
1.0
3.277 0.000 0.000
0.000 3.277 0.000
0.000 0.000 8.785
Si Zr K
2 1 1
direct
0.000 0.000 0.088
0.500 0.500 0.210
0.000 0.000 0.399
0.500 0.500 0.803
```

Output
symmetry = P4mm, No. 99
E above lowest polymorph = 0.338 eV/atom



(7)
Material: KZr2Si
Method: DFT, PBE-GGA
State: optimized geometry

```
KZr2Si
1.0
-0.069 2.868 2.079
-2.758 -0.779 0.983
2.006 -5.941 8.260
K Zr Si
1 2 1
direct
0.500 0.250 0.250
0.000 0.050 0.906
0.000 0.450 0.594
0.500 0.750 0.750
```

Output
symmetry = P2/m, No. 10



(8)
Material: KZrSi2
Method: DFT, PBE-GGA
State: optimized geometry

```
KZrSi2
1.0
3.748 0.000 0.000
0.000 3.748 0.000
0.000 0.000 8.344
Si K Zr
2 1 1
direct
0.000 0.000 0.033
0.500 0.500 0.359
0.500 0.500 0.764
0.000 0.000 0.343
```

Output
symmetry = P4mm, No. 99
E above lowest polymorph = 0.490 eV/atom



(9)
Material: KZr2Si
Method: DFT, PBE-GGA
State: optimized geometry

```
KZr2Si
1.0
3.127 0.000 0.000
0.000 5.547 0.000
0.000 0.000 5.313
K Si Zr
1 1 2
direct
0.500 0.000 0.500
0.000 0.500 0.500
0.500 0.500 0.000
0.000 0.000 0.000
```

Output
symmetry = Pmmm, No. 47



(10)
Material: KZrSi2
Method: DFT, PBE-GGA
State: optimized geometry

```
KZrSi2
1.0
5.161 -0.005 0.000
1.232 5.012 0.000
-3.198 -2.500 3.186
Zr K Si
1 1 2
direct
0.250 0.750 0.500
0.750 0.250 0.500
0.000 0.000 0.000
0.500 0.500 0.000
```

Output
symmetry = I4/mmm, No. 139
E above lowest polymorph = 0.585 eV/atom



(11)
Material: KZr2Si
Method: DFT, PBE-GGA
State: optimized geometry

```
KZr2Si
1.0
5.296 0.000 0.000
0.000 5.296 0.000
2.648 2.648 9.661
Si Zr K
2 4 2
direct
0.500 0.500 0.000
0.250 0.750 0.500
0.875 0.600 0.750
0.375 0.650 0.750
0.350 0.125 0.250
0.400 0.625 0.250
0.750 0.250 0.500
0.000 0.000 0.000
```

Output
symmetry = I-42d, No. 122



(12)
Material: KZrSi2
Method: DFT, PBE-GGA
State: optimized geometry

```
KZrSi2
1.0
4.885 -0.476 0.592
3.859 3.033 0.592
2.068 0.605 7.255
Zr Si K
1 2 1
direct
0.428 0.428 0.740
0.103 0.103 0.848
0.750 0.750 0.642
0.219 0.219 0.270
```

Output
symmetry = Cm, No. 8
E above lowest polymorph = 0.192 eV/atom



(13)
Material: KZrSi2
Method: DFT, PBE-GGA
State: optimized geometry

```
KZrSi2
1.0
-3.523 -3.258 2.432
0.893 -2.512 -4.673
2.208 -1.479 1.217
Zr Si K
1 2 1
direct
0.500 0.000 0.500
0.000 0.000 0.000
0.500 0.500 0.000
0.000 0.500 0.500
```

Output
symmetry = Cmmm, No. 65
E above lowest polymorph = 0.451 eV/atom



(14)
Material: KZr2Si
Method: DFT, PBE-GGA
State: optimized geometry

```
KZr2Si
1.0
3.082 0.000 0.000
0.000 3.082 0.000
0.000 0.000 10.489
Zr Si K
2 1 1
direct
0.500 0.500 0.196
0.000 0.000 0.974
0.500 0.500 0.786
0.000 0.000 0.544
```

Output
symmetry = P4mm, No. 99



(15)
Material: KZrSi2
Method: DFT, PBE-GGA
State: optimized geometry

```
KZrSi2
1.0
-1.162 -0.498 4.739
-1.640 -4.305 1.684
2.827 -2.718 2.946
Si Zr K
2 1 1
direct
0.000 0.000 0.000
0.250 0.250 0.250
0.750 0.750 0.750
0.500 0.500 0.500
```

Output
symmetry = F-43m, No. 216
E above lowest polymorph = 1.000 eV/atom



(16)
Material: KZr2Si
Method: DFT, PBE-GGA
State: optimized geometry

```
KZr2Si
1.0
-1.250 3.962 0.679
0.224 -0.702 4.512
4.359 1.376 -0.002
Zr K Si
2 1 1
direct
0.000 0.500 0.500
0.000 0.000 0.000
0.500 0.500 0.000
0.500 0.000 0.500
```

Output
symmetry = P4/mmm, No. 123



(17)
Material: KZr2Si
Method: DFT, PBE-GGA
State: optimized geometry

```
KZr2Si
1.0
8.986 0.010 -0.079
7.399 5.099 0.079
-8.049 -3.014 2.623
Si Zr K
1 2 1
direct
0.238 0.738 0.500
0.105 0.105 0.000
0.734 0.234 0.500
0.423 0.423 0.000
```

Output
symmetry = Imm2, No. 44



(18)
Material: KZr2Si
Method: DFT, PBE-GGA
State: optimized geometry

```
KZr2Si
1.0
-2.024 -5.333 0.559
4.440 0.280 -3.614
1.874 -0.474 2.266
Zr K Si
2 1 1
direct
0.500 0.500 0.000
0.000 0.000 0.000
0.500 0.000 0.500
0.000 0.500 0.500
```

Output
symmetry = Cmmm, No. 65



(19)
Material: KZr4Si
Method: DFT, PBE-GGA
State: optimized geometry

```
KZr4Si
1.0
0.000 4.192 4.192
4.192 0.000 4.192
4.192 4.192 0.000
Si Zr K
1 4 1
direct
0.000 0.000 0.000
0.374 0.374 0.374
0.374 0.877 0.374
0.374 0.374 0.877
0.877 0.374 0.374
0.750 0.750 0.750
```

Output
symmetry = F-43m, No. 216



(20)
Material: KZrSi2
Method: DFT, PBE-GGA
State: optimized geometry

```
KZrSi2
1.0
-3.969 7.775 -5.340
-5.992 5.497 -6.212
-6.474 7.099 -3.521
Si K Zr
2 1 1
direct
0.990 0.990 0.990
0.510 0.510 0.510
0.750 0.750 0.750
0.250 0.250 0.250
```

Output
symmetry = R-3m, No. 166
E above lowest polymorph = 0.365 eV/atom



Per-record calculated total energy, eV per atom: -5.297 -5.208 -5.179 -4.594 -5.849 -4.983 -5.797 -4.831 -5.241 -4.736 -5.099 -5.129 -4.870 -5.741 -4.320 -5.360 -5.665 -5.188 -6.028 -4.956